{"formula": "HoTmSe", "functional": "PBE-GGA", "state": "relaxed", "lattice": [[3.807, 0.000, 0.000], [-1.904, 3.297, 0.000], [0.000, 0.000, 6.470]], "species": ["Tm", "Se", "Ho"], "fractional_positions": [[0.000, 0.000, 0.052], [0.667, 0.333, 0.332], [0.333, 0.667, 0.616]], "mass_density_g_cm3": 8.4, "total_energy_ev_per_cell": -15.80, "volume_a3_per_atom": 27.07, "de_polymorph_mev_per_atom": 0.0, "n_ef_per_ev_fu": 3.16, "formation_energy_uncorrected_ev_per_atom": -1.087}